PaNb2Fe after structural relaxation. Source: the Alexandria database, functional PBE-GGA.

Computed properties:
* E: -37.3 eV for the cell shown
* N(E_F): 4.04 states/eV/f.u.
* M_tot: 1.35 μB/f.u.
* energy relative to the lowest polymorph listed for this composition: 0.000 eV per atom
* formation energy from the elements: 0.192 eV per atom

Cell lengths 3.3687, 3.3687, 6.3843 Å; angles 90.00, 90.00, 90.00 degrees
Space group P4/mmm (No. 123)
Asymmetric unit:
Pa (0.0000, 0.0000, 0.0000) x1
Nb (0.5000, 0.5000, 0.2711) x2
Fe (0.0000, 0.0000, 0.5000) x1